DFT (PBE-GGA) results for a relaxed structure of ZnRe2Au.

Calculated values
Theoretical density, Mg/m³: 17.06
Formation energy from the elements, eV/atom: 0.361
VASP energy, eV/f.u.: -28.0
Space group: P2/m

Unit cell a=2.796 b=4.708 c=5.678 alpha=55.79 beta=90.00 gamma=90.00
Atoms (fractional coordinates):
Au 0.000 0.000 0.500
Re 0.500 0.500 0.000
Re 0.000 0.000 0.000
Zn 0.500 0.500 0.500